Compound: CsSiPPt4
Source: Alexandria via LeMat-Bulk
Functional: PBE-GGA
Structure: optimized geometry

Calculated values
Electronic total energy ... -5.55 eV/atom
Formation energy without anion corrections ... -2.988 eV/f.u.

Unit cell a=8.3994 b=8.3994 c=6.4659 alpha=91.03 beta=91.03 gamma=48.81
Sites, in units of the cell vectors:
Cs1 0.0988 0.0988 0.1822
Cs2 0.9012 0.9012 0.8178
Si1 0.2626 0.2626 0.6472
Si2 0.7374 0.7374 0.3528
P1 0.4304 0.4304 0.2516
P2 0.5696 0.5696 0.7484
Pt1 0.1093 0.5123 0.3526
Pt2 0.3346 0.3346 0.9749
Pt3 0.4308 0.4308 0.6296
Pt4 0.4877 0.8907 0.6474
Pt5 0.5123 0.1093 0.3526
Pt6 0.5692 0.5692 0.3704
Pt7 0.6654 0.6654 0.0251
Pt8 0.8907 0.4877 0.6474